No. 1
A plane-wave DFT calculation with PBE was carried out for a geometry-optimized ScZn2Os structure.

Cell: 9.385 9.385 9.385 Å, 17.39 17.39 17.39°
Element x y z (fractional)
Zn 0.506 0.506 0.506
Zn 0.994 0.994 0.994
Sc 0.750 0.750 0.750
Os 0.250 0.250 0.250

- Uncorrected energy: -0.3574 Ry/atom
- Energy relative to the elements: 164 meV/atom
- DOS(E_F): 3.88 states/eV per cell
- Crystal system: trigonal

No. 2
A plane-wave DFT calculation with PBE was carried out for a geometry-optimized LiLaAu structure.

Cell: 4.153 4.153 8.797 Å, 103.65 103.65 90.00°
Element x y z (fractional)
La 0.320 0.320 0.640
La 0.680 0.680 0.360
Li 0.500 0.000 0.000
Li 0.000 0.500 0.000
Au 0.109 0.109 0.218
Au 0.891 0.891 0.782

- Uncorrected energy: -0.2880 Ry/atom
- Energy relative to the elements: -546 meV/atom
- DOS(E_F): 5.76 states/eV per cell
- Crystal system: tetragonal

No. 3
A plane-wave DFT calculation with PBE was carried out for a geometry-optimized TbPr5Nd4 structure.

Cell: 5.997 10.829 10.830 Å, 90.00 90.00 90.00°
Element x y z (fractional)
Pr 0.837 0.661 0.661
Pr 0.163 0.839 0.161
Pr 0.837 0.339 0.661
Pr 0.163 0.839 0.839
Pr 0.000 0.500 0.000
Pr 0.163 0.161 0.161
Pr 0.837 0.661 0.339
Pr 0.837 0.339 0.339
Pr 0.163 0.161 0.839
Pr 0.000 0.000 0.500
Nd 0.631 0.000 0.296
Nd 0.631 0.704 0.000
Nd 0.631 0.000 0.704
Nd 0.369 0.204 0.500
Nd 0.369 0.796 0.500
Nd 0.369 0.500 0.796
Nd 0.631 0.296 0.000
Nd 0.369 0.500 0.204
Tb 0.656 0.000 0.000
Tb 0.344 0.500 0.500

- Uncorrected energy: -0.3377 Ry/atom
- Energy relative to the elements: 166 meV/atom
- DOS(E_F): 26.01 states/eV per cell
- Crystal system: tetragonal

No. 4
A plane-wave DFT calculation with PBE was carried out for a geometry-optimized Ba2HgBiP structure.

Cell: 6.481 5.372 6.481 Å, 90.00 90.00 90.00°
Site moments in Bohr magnetons follow the coordinates.
Element x y z (fractional)
Hg 0.000 0.000 0.000  0.01
P 0.500 0.500 0.500  0.24
Bi 0.000 0.500 0.000  0.05
Ba 0.500 0.000 0.000  0.00
Ba 0.000 0.000 0.500  0.00

- Uncorrected energy: -0.1913 Ry/atom
- Energy relative to the elements: 84 meV/atom
- DOS(E_F): 4.95 states/eV per cell
- Crystal system: tetragonal

No. 5
A plane-wave DFT calculation with PBE was carried out for a geometry-optimized BaInCoBr2 structure.

Cell: 6.222 6.250 6.222 Å, 90.00 90.00 90.00°
Site moments in Bohr magnetons follow the coordinates.
Element x y z (fractional)
Br 0.500 0.000 0.000  0.00
Br 0.000 0.000 0.500  0.00
Co 0.000 0.500 0.000  2.02
Ba 0.000 0.000 0.000  -0.02
In 0.500 0.500 0.500  -0.02

- Uncorrected energy: -0.2310 Ry/atom
- Uncorrected formation energy: -0.12 eV/atom
- DOS(E_F): 0.00 states/eV per cell
- Crystal system: tetragonal

No. 6
A plane-wave DFT calculation with PBE was carried out for a geometry-optimized Pm2Sm4HoEr2 structure.

Cell: 5.087 8.049 8.019 Å, 107.56 90.00 108.42°
Element x y z (fractional)
Sm 0.555 0.111 0.331
Sm 0.778 0.557 0.669
Sm 0.445 0.889 0.669
Sm 0.222 0.443 0.331
Ho 0.000 0.000 0.000
Pm 0.112 0.223 0.669
Pm 0.888 0.777 0.331
Er 0.333 0.666 0.000
Er 0.667 0.334 0.000

- Uncorrected energy: -0.3422 Ry/atom
- Energy relative to the elements: 20 meV/atom
- DOS(E_F): 13.61 states/eV per cell
- Crystal system: monoclinic

> Among the records above, which one has the lowest DOS(E_F)?

BaInCoBr2

> Number 6 is which compound?

Pm2Sm4HoEr2